1.
DFT (PBE-GGA) results for ScHgOs2 after structural relaxation.

a = 2.8992 Å, b = 2.8992 Å, c = 8.2523 Å
α = 90.00°, β = 90.00°, γ = 90.00°
Last column: nearest neighbours and their distance in Å.
Atoms (fractional coordinates):
Sc: 0.0000 0.0000 0.0000  4 Os 2.89, 4 Sc 2.90, 4 Hg 3.12
Hg: 0.5000 0.5000 0.2848  4 Hg 2.90, 4 Os 3.04, 4 Sc 3.12
Os: 0.0000 0.0000 0.5566  8 Os 2.61-2.90
Os: 0.5000 0.5000 0.7528  8 Os 2.61-2.90, 4 Sc 2.89

2.
DFT (PBE-GGA) results for ScHgOs2 after structural relaxation.

a = 2.9472 Å, b = 3.9346 Å, c = 5.9087 Å
α = 90.00°, β = 90.00°, γ = 90.00°
Last column: nearest neighbours and their distance in Å.
Atoms (fractional coordinates):
Sc: 0.0000 0.0000 0.0000  5 Os 2.58-2.87
Hg: 0.5000 0.5000 0.2733  6 Os 2.80-3.10, 4 Sc 2.94, 2 Hg 2.95
Os: 0.0000 0.0000 0.5632  1 Sc 2.58, 4 Os 2.69
Os: 0.5000 0.5000 0.7480  6 Os 2.69-2.95, 1 Hg 2.80, 4 Sc 2.87

3.
DFT (PBE-GGA) results for Sc6HgOs2 after structural relaxation.

a = 7.9638 Å, b = 7.9638 Å, c = 7.9638 Å
α = 113.28°, β = 112.69°, γ = 102.65°
Last column: nearest neighbours and their distance in Å.
Atoms (fractional coordinates):
Sc: 0.0365 0.2432 0.7933  2 Os 2.66-2.87
Sc: 0.1844 0.2846 0.4690  3 Os 2.81-2.82, 1 Hg 2.98
Sc: 0.1844 0.7154 0.8998  3 Os 2.81-2.82, 1 Hg 2.98
Sc: 0.3330 0.0243 0.6914  3 Os 2.61-2.79
Sc: 0.3330 0.6416 0.3086  3 Os 2.61-2.79
Sc: 0.4499 0.2432 0.2067  2 Os 2.66-2.87
Sc: 0.5501 0.7568 0.7933  2 Os 2.66-2.87
Sc: 0.6670 0.3584 0.6914  3 Os 2.61-2.79
Sc: 0.6670 0.9757 0.3086  3 Os 2.61-2.79
Sc: 0.8156 0.2846 0.1002  3 Os 2.81-2.82, 1 Hg 2.98
Sc: 0.8156 0.7154 0.5310  3 Os 2.81-2.82, 1 Hg 2.98
Sc: 0.9635 0.7568 0.2067  2 Os 2.66-2.87
Hg: 0.0000 0.0000 0.0000  2 Os 2.92, 8 Sc 2.98-3.03
Hg: 0.5000 0.5000 0.0000  12 Sc 3.14-3.36
Os: 0.1321 0.6321 0.5000  8 Sc 2.61-2.87, 1 Os 2.63
Os: 0.3305 0.0000 0.3305  8 Sc 2.66-2.81, 1 Hg 2.92
Os: 0.6695 0.0000 0.6695  8 Sc 2.66-2.81, 1 Hg 2.92
Os: 0.8679 0.3679 0.5000  8 Sc 2.61-2.87, 1 Os 2.63

4.
DFT (PBE-GGA) results for ScHgOs after structural relaxation.

a = 4.7118 Å, b = 4.7118 Å, c = 2.8368 Å
α = 90.00°, β = 90.00°, γ = 120.00°
Last column: nearest neighbours and their distance in Å.
Atoms (fractional coordinates):
Sc: 0.0000 0.0000 0.0000  2 Sc 2.84, 3 Os 2.86-2.87, 3 Hg 2.95
Hg: 0.6667 0.3333 0.4062  3 Os 2.83, 2 Hg 2.84, 3 Sc 2.95
Os: 0.3333 0.6667 0.6832  3 Hg 2.83, 2 Os 2.84, 3 Sc 2.86-2.87

Summary:
distance to the lowest polymorph of the same formula = 144 meV/atom

5.
DFT (PBE-GGA) results for Sc5Hg4Os after structural relaxation.

a = 3.4036 Å, b = 3.4036 Å, c = 17.7832 Å
α = 90.00°, β = 90.00°, γ = 90.00°
Last column: nearest neighbours and their distance in Å.
Atoms (fractional coordinates):
Sc: 0.0000 0.0000 0.0000  8 Hg 3.01
Sc: 0.0000 0.0000 0.2061  8 Hg 3.03-3.04
Sc: 0.0000 0.0000 0.4158  4 Os 2.83, 1 Sc 3.00, 4 Hg 3.06
Sc: 0.0000 0.0000 0.5842  4 Os 2.83, 1 Sc 3.00, 4 Hg 3.06
Sc: 0.0000 0.0000 0.7939  8 Hg 3.03-3.04
Hg: 0.5000 0.5000 0.1019  8 Sc 3.01-3.04
Hg: 0.5000 0.5000 0.3093  8 Sc 3.03-3.06
Hg: 0.5000 0.5000 0.6907  8 Sc 3.03-3.06
Hg: 0.5000 0.5000 0.8981  8 Sc 3.01-3.04
Os: 0.5000 0.5000 0.5000  8 Sc 2.83

6.
DFT (PBE-GGA) results for ScHgOs after structural relaxation.

a = 5.3706 Å, b = 5.3706 Å, c = 5.3706 Å
α = 143.24°, β = 143.24°, γ = 52.97°
Last column: nearest neighbours and their distance in Å.
Atoms (fractional coordinates):
Sc: 0.0000 0.0000 0.0000  4 Os 2.74, 5 Hg 3.00
Hg: 0.3125 0.3125 0.0000  5 Os 2.92-3.14, 5 Sc 3.00
Os: 0.6394 0.6394 0.0000  4 Sc 2.74, 4 Hg 2.92

Summary:
distance to the lowest polymorph of the same formula = 0 meV/atom

Number 1: DFT formation energy 0.03 eV per atom, N(E_F) 3.39 states/eV/cell. Number 2: DFT formation energy 0.12 eV per atom, N(E_F) 2.38 states/eV/cell. Number 3: DFT formation energy -0.34 eV per atom, N(E_F) 19.86 states/eV/cell. Number 4: DFT formation energy 0.17 eV per atom, N(E_F) 3.00 states/eV/cell. Number 5: DFT formation energy -0.44 eV per atom, N(E_F) 7.61 states/eV/cell. Number 6: DFT formation energy 0.03 eV per atom, N(E_F) 1.75 states/eV/cell.